No. 1
First-principles (PBE) data for Sr2InHgN after structural relaxation, as listed in Alexandria via LeMat-Bulk.

The structure in POSCAR format:
```
Sr2InHgN
1.0
-5.017 -0.974 1.479
0.403 -4.955 -1.896
1.490 -1.448 4.102
Sr In Hg N
2 1 1 1
direct
0.000 0.500 0.000
0.500 0.000 0.000
0.000 0.000 0.500
0.500 0.500 0.500
0.000 0.000 0.000
```

Results
As for the formation energy (no corrections): -367 meV/atom. As for the symmetry: P4/mmm, No. 123.

***

No. 2
First-principles (PBE) data for InHgTe2N after structural relaxation, as listed in Alexandria via LeMat-Bulk.

The structure in POSCAR format:
```
InHgTe2N
1.0
5.957 0.000 0.000
0.000 5.957 0.000
0.000 0.000 4.071
N Te In Hg
1 2 1 1
direct
0.000 0.000 0.500
0.000 0.500 0.000
0.500 0.000 0.000
0.500 0.500 0.500
0.000 0.000 0.000
```

Results
As for the formation energy (no corrections): 955 meV/atom. The energy above the most stable polymorph in this dataset comes out at 74 meV per atom. As for the symmetry: P4/mmm, No. 123.

***

No. 3
First-principles (PBE) data for InHgTe2N after structural relaxation, as listed in Alexandria via LeMat-Bulk.

The structure in POSCAR format:
```
InHgTe2N
1.0
-0.548 -1.792 -5.683
5.784 1.213 -0.940
0.954 -3.714 1.079
N Te In Hg
1 2 1 1
direct
0.000 0.000 0.500
0.000 0.500 0.000
0.500 0.000 0.000
0.000 0.000 0.000
0.500 0.500 0.500
```

Results
As for the formation energy (no corrections): 881 meV/atom. The energy above the most stable polymorph in this dataset comes out at 0 meV per atom. As for the symmetry: P4/mmm, No. 123.

***

No. 4
First-principles (PBE) data for TiIn2HgN after structural relaxation, as listed in Alexandria via LeMat-Bulk.

The structure in POSCAR format:
```
TiIn2HgN
1.0
-1.314 2.986 -4.703
0.755 -3.077 -2.164
-5.456 -1.667 0.466
Hg In Ti N
1 2 1 1
direct
0.000 0.000 0.000
0.000 0.000 0.500
0.500 0.000 0.000
0.500 0.500 0.500
0.000 0.500 0.000
```

Results
As for the formation energy (no corrections): 1309 meV/atom. As for the symmetry: P4/mmm, No. 123.

***

No. 5
First-principles (PBE) data for Na12In7Hg after structural relaxation, as listed in Alexandria via LeMat-Bulk.

The structure in POSCAR format:
```
Na12In7Hg
1.0
8.320 0.130 -1.918
-2.437 7.956 -1.918
0.094 0.130 8.537
Na In Hg
12 7 1
direct
0.673 0.674 0.921
0.500 0.762 0.238
0.327 0.326 0.079
0.762 0.500 0.238
0.079 0.327 0.326
0.500 0.238 0.762
0.762 0.238 0.500
0.326 0.079 0.327
0.674 0.921 0.673
0.238 0.500 0.762
0.921 0.673 0.674
0.238 0.762 0.500
0.094 0.094 0.682
0.500 0.500 0.500
0.906 0.318 0.906
0.906 0.906 0.318
0.318 0.906 0.906
0.682 0.094 0.094
0.094 0.682 0.094
0.000 0.000 0.000
```

Results
For the formation energy, the calculation gives -0.084 eV per atom. As for the symmetry: R-3, No. 148.

***

No. 6
First-principles (PBE) data for NaIn6Hg after structural relaxation, as listed in Alexandria via LeMat-Bulk.

The structure in POSCAR format:
```
NaIn6Hg
1.0
-2.877 -2.707 -2.724
-2.472 -2.855 5.448
-4.695 4.669 0.318
In Na Hg
6 1 1
direct
0.500 0.000 0.500
0.000 0.749 0.251
0.000 0.750 0.750
0.000 0.251 0.749
0.500 0.500 0.000
0.000 0.250 0.250
0.500 0.500 0.500
0.500 0.000 0.000
```

Results
For the formation energy, the calculation gives -0.024 eV per atom. The energy above the most stable polymorph in this dataset comes out at 0 meV per atom. As for the symmetry: P4/mmm, No. 123.

***

No. 7
First-principles (PBE) data for Na4In2Hg5 after structural relaxation, as listed in Alexandria via LeMat-Bulk.

The structure in POSCAR format:
```
Na4In2Hg5
1.0
-2.477 0.713 2.202
-0.339 -7.782 2.139
7.222 2.732 7.237
In Hg Na
2 5 4
direct
0.000 0.939 0.363
0.000 0.061 0.637
0.000 0.809 0.837
0.000 0.500 0.000
0.000 0.436 0.702
0.000 0.564 0.298
0.000 0.191 0.163
0.500 0.704 0.563
0.500 0.296 0.437
0.500 0.830 0.101
0.500 0.170 0.899
```

Results
For the formation energy, the calculation gives -0.181 eV per atom. The energy above the most stable polymorph in this dataset comes out at 0 meV per atom. As for the symmetry: P2/m, No. 10.

***

No. 8
First-principles (PBE) data for Na2In3Hg8 after structural relaxation, as listed in Alexandria via LeMat-Bulk.

The structure in POSCAR format:
```
Na2In3Hg8
1.0
3.661 0.000 0.000
0.000 9.094 -4.963
0.000 0.379 10.689
Hg In Na
8 3 2
direct
0.500 0.365 0.255
0.500 0.908 0.339
0.000 0.573 0.178
0.500 0.092 0.661
0.000 0.125 0.277
0.000 0.427 0.822
0.000 0.875 0.723
0.500 0.635 0.745
0.000 0.770 0.039
0.500 0.000 0.000
0.000 0.230 0.961
0.500 0.687 0.467
0.500 0.313 0.533
```

Results
For the formation energy, the calculation gives -0.068 eV per atom. The energy above the most stable polymorph in this dataset comes out at 15 meV per atom. As for the symmetry: P2/m, No. 10.

***

No. 9
First-principles (PBE) data for Na3In2Hg7 after structural relaxation, as listed in Alexandria via LeMat-Bulk.

The structure in POSCAR format:
```
Na3In2Hg7
1.0
-3.590 -1.410 -2.411
0.264 -4.381 2.170
-9.472 7.568 9.676
Hg In Na
7 2 3
direct
0.500 0.280 0.548
0.000 0.404 0.858
0.000 0.596 0.142
0.000 0.000 0.000
0.500 0.720 0.452
0.500 0.911 0.850
0.500 0.089 0.150
0.500 0.653 0.265
0.500 0.347 0.735
0.500 0.500 0.000
0.000 0.190 0.373
0.000 0.810 0.627
```

Results
For the formation energy, the calculation gives -0.105 eV per atom. The energy above the most stable polymorph in this dataset comes out at 12 meV per atom. As for the symmetry: P2/m, No. 10.

***

No. 10
First-principles (PBE) data for NaIn2Hg4 after structural relaxation, as listed in Alexandria via LeMat-Bulk.

The structure in POSCAR format:
```
NaIn2Hg4
1.0
5.606 0.000 0.000
0.000 5.606 0.000
2.803 2.803 7.509
Hg In Na
4 2 1
direct
0.500 0.000 0.000
0.802 0.802 0.396
0.000 0.500 0.000
0.198 0.198 0.604
0.395 0.395 0.210
0.605 0.605 0.790
0.000 0.000 0.000
```

Results
For the formation energy, the calculation gives 0.110 eV per atom. The energy above the most stable polymorph in this dataset comes out at 151 meV per atom. As for the symmetry: I4/mmm, No. 139.

***

No. 11
First-principles (PBE) data for Na3In7Hg4 after structural relaxation, as listed in Alexandria via LeMat-Bulk.

The structure in POSCAR format:
```
Na3In7Hg4
1.0
-4.419 1.474 -1.478
-1.143 -3.624 -8.280
-5.584 -7.668 0.967
In Na Hg
7 3 4
direct
0.843 0.379 0.935
0.661 0.187 0.490
0.000 0.000 0.000
0.491 0.188 0.830
0.339 0.813 0.510
0.509 0.812 0.170
0.157 0.621 0.065
0.706 0.802 0.786
0.294 0.198 0.214
0.000 0.500 0.500
0.132 0.076 0.660
0.650 0.459 0.241
0.350 0.541 0.759
0.868 0.924 0.340
```

Results
For the formation energy, the calculation gives -0.100 eV per atom. As for the symmetry: C2/m, No. 12.

***

No. 12
First-principles (PBE) data for Na4InHg5 after structural relaxation, as listed in Alexandria via LeMat-Bulk.

The structure in POSCAR format:
```
Na4InHg5
1.0
-3.270 1.129 -1.501
-0.802 -3.564 -0.933
-8.200 -2.368 16.083
Na In Hg
4 1 5
direct
0.000 0.000 0.804
0.000 0.000 0.601
0.000 0.000 0.399
0.000 0.000 0.196
0.000 0.000 0.000
0.500 0.500 0.301
0.500 0.500 0.899
0.500 0.500 0.101
0.500 0.500 0.699
0.500 0.500 0.500
```

Results
For the formation energy, the calculation gives -0.216 eV per atom. As for the symmetry: P4/mmm, No. 123.

***

No. 13
First-principles (PBE) data for Na2In2Hg after structural relaxation, as listed in Alexandria via LeMat-Bulk.

The structure in POSCAR format:
```
Na2In2Hg
1.0
9.459 0.000 0.000
0.000 9.459 0.000
0.000 0.000 3.289
In Na Hg
4 4 2
direct
0.611 0.889 0.500
0.389 0.111 0.500
0.889 0.389 0.500
0.111 0.611 0.500
0.814 0.686 0.000
0.186 0.314 0.000
0.686 0.186 0.000
0.314 0.814 0.000
0.500 0.500 0.000
0.000 0.000 0.000
```

Results
For the formation energy, the calculation gives -0.014 eV per atom. The energy above the most stable polymorph in this dataset comes out at 149 meV per atom. As for the symmetry: P4/mbm, No. 127.

***

No. 14
First-principles (PBE) data for NaIn4Hg after structural relaxation, as listed in Alexandria via LeMat-Bulk.

The structure in POSCAR format:
```
NaIn4Hg
1.0
-0.724 1.914 -4.093
-4.480 -1.210 0.227
-1.212 5.489 5.339
In Hg Na
4 1 1
direct
0.167 0.500 0.334
0.331 0.000 0.662
0.833 0.500 0.666
0.669 0.000 0.338
0.000 0.000 0.000
0.500 0.500 0.000
```

Results
For the formation energy, the calculation gives -0.085 eV per atom. The energy above the most stable polymorph in this dataset comes out at 0 meV per atom. As for the symmetry: Cmmm, No. 65.

***

No. 15
First-principles (PBE) data for Na2In2Hg after structural relaxation, as listed in Alexandria via LeMat-Bulk.

The structure in POSCAR format:
```
Na2In2Hg
1.0
4.301 0.000 0.000
0.000 4.301 0.000
2.151 2.151 7.697
In Hg Na
2 1 2
direct
0.593 0.593 0.815
0.407 0.407 0.185
0.000 0.000 0.000
0.250 0.750 0.500
0.750 0.250 0.500
```

Results
For the formation energy, the calculation gives 0.057 eV per atom. The energy above the most stable polymorph in this dataset comes out at 220 meV per atom. As for the symmetry: I4/mmm, No. 139.

***

No. 16
First-principles (PBE) data for Na5InHg3 after structural relaxation, as listed in Alexandria via LeMat-Bulk.

The structure in POSCAR format:
```
Na5InHg3
1.0
-1.237 6.334 1.208
-0.969 -1.904 8.995
8.302 2.266 -3.377
Na Hg In
10 6 2
direct
0.250 0.684 0.000
0.500 0.333 0.667
0.750 0.316 0.000
0.000 0.667 0.333
0.750 0.684 0.685
0.750 0.000 0.315
0.500 0.667 0.333
0.000 0.333 0.667
0.250 0.316 0.315
0.250 0.000 0.685
0.250 0.000 0.348
0.250 0.348 0.000
0.750 0.348 0.348
0.750 0.652 0.000
0.250 0.652 0.652
0.750 0.000 0.652
0.000 0.000 0.000
0.500 0.000 0.000
```

Results
For the formation energy, the calculation gives -0.175 eV per atom. As for the symmetry: P6_3/mcm, No. 193.

***

No. 17
First-principles (PBE) data for NaIn2Hg after structural relaxation, as listed in Alexandria via LeMat-Bulk.

The structure in POSCAR format:
```
NaIn2Hg
1.0
-4.201 -1.583 -7.442
4.380 -7.455 -0.887
-2.101 -5.990 -2.615
In Na Hg
4 2 2
direct
0.875 0.911 0.750
0.375 0.339 0.750
0.089 0.625 0.250
0.661 0.125 0.250
0.500 0.500 0.000
0.250 0.750 0.500
0.750 0.250 0.500
0.000 0.000 0.000
```

Results
For the formation energy, the calculation gives -0.027 eV per atom. As for the symmetry: I-42d, No. 122.

***

No. 18
First-principles (PBE) data for NaIn4Hg5 after structural relaxation, as listed in Alexandria via LeMat-Bulk.

The structure in POSCAR format:
```
NaIn4Hg5
1.0
-0.159 3.432 1.706
-2.041 -1.521 2.870
15.056 -3.661 8.766
Hg Na In
5 1 4
direct
0.500 0.500 0.098
0.500 0.500 0.297
0.500 0.500 0.500
0.500 0.500 0.902
0.500 0.500 0.703
0.000 0.000 0.000
0.000 0.000 0.797
0.000 0.000 0.403
0.000 0.000 0.597
0.000 0.000 0.203
```

Results
For the formation energy, the calculation gives -0.055 eV per atom. The energy above the most stable polymorph in this dataset comes out at 0 meV per atom. As for the symmetry: P4/mmm, No. 123.

***

No. 19
First-principles (PBE) data for Na2In2Hg7 after structural relaxation, as listed in Alexandria via LeMat-Bulk.

The structure in POSCAR format:
```
Na2In2Hg7
1.0
5.286 0.421 2.424
3.030 7.361 0.875
0.332 0.229 7.998
Hg Na In
7 2 2
direct
0.857 0.413 0.413
0.143 0.587 0.587
0.676 0.577 0.088
0.324 0.912 0.423
0.500 0.000 0.000
0.676 0.088 0.577
0.324 0.423 0.912
0.000 0.213 0.787
0.000 0.787 0.213
0.500 0.259 0.259
0.500 0.741 0.741
```

Results
For the formation energy, the calculation gives -0.112 eV per atom. The energy above the most stable polymorph in this dataset comes out at 3 meV per atom. As for the symmetry: C2/m, No. 12.

***

No. 20
First-principles (PBE) data for Na2In7Hg12 after structural relaxation, as listed in Alexandria via LeMat-Bulk.

The structure in POSCAR format:
```
Na2In7Hg12
1.0
-5.088 1.392 -0.303
-2.798 -10.756 -2.439
0.304 3.491 10.830
In Hg Na
7 12 2
direct
0.348 0.728 0.609
0.347 0.391 0.119
0.652 0.272 0.391
0.500 0.000 0.000
0.348 0.881 0.272
0.653 0.609 0.881
0.652 0.119 0.728
0.793 0.546 0.605
0.168 0.128 0.259
0.207 0.454 0.395
0.832 0.872 0.741
0.831 0.869 0.128
0.169 0.741 0.869
0.207 0.942 0.547
0.831 0.259 0.131
0.207 0.605 0.058
0.793 0.395 0.942
0.169 0.131 0.872
0.793 0.058 0.453
0.851 0.667 0.333
0.149 0.333 0.667
```

Results
For the formation energy, the calculation gives -0.023 eV per atom. As for the symmetry: P-1, No. 2.